# FeSbIO2 (GGA+U, relaxed)
# V	112.2	Å³/f.u.
# energy relative to the lowest polymorph listed for this composition	4.58	eV per formula unit
data_FeSbIO2
_symmetry_space_group_name_H-M 'P 4/m m m'
_symmetry_Int_Tables_number 123
_symmetry_space_group_name_Hall '-P 4 2'
_cell_length_a 4.0971
_cell_length_b 4.0971
_cell_length_c 6.6850
_cell_angle_alpha 90.00
_cell_angle_beta 90.00
_cell_angle_gamma 90.00
loop_
_atom_site_label
_atom_site_type_symbol
_atom_site_fract_x
_atom_site_fract_y
_atom_site_fract_z
_atom_site_occupancy
Fe1 Fe 0.0000 0.0000 0.0000 1
Sb1 Sb 0.5000 0.5000 0.5000 1
I1 I 0.5000 0.5000 0.0000 1
O1 O 0.0000 0.5000 0.5000 1